1.
Na5In3I12: optimized geometry, PBE.

POSCAR file:
```
Na5In3I12
1.0
17.073 0.000 0.000
-5.691 16.097 0.000
-5.691 -8.048 13.940
In Na I
12 20 48
Direct
0.750 0.375 0.125 In
0.875 0.750 0.125 In
0.375 0.750 0.625 In
0.250 0.125 0.375 In
0.875 0.125 0.250 In
0.375 0.625 0.250 In
0.625 0.375 0.750 In
0.125 0.875 0.750 In
0.750 0.875 0.625 In
0.625 0.250 0.375 In
0.125 0.250 0.875 In
0.250 0.625 0.875 In
0.125 0.375 0.250 Na
0.000 0.500 0.000 Na
0.000 0.000 0.000 Na
0.375 0.250 0.125 Na
0.500 0.000 0.500 Na
0.500 0.500 0.000 Na
0.125 0.750 0.375 Na
0.750 0.125 0.875 Na
0.750 0.625 0.375 Na
0.375 0.125 0.750 Na
0.625 0.875 0.250 Na
0.500 0.500 0.500 Na
0.500 0.000 0.000 Na
0.000 0.000 0.500 Na
0.250 0.375 0.625 Na
0.250 0.875 0.125 Na
0.000 0.500 0.500 Na
0.875 0.250 0.625 Na
0.625 0.750 0.875 Na
0.875 0.625 0.750 Na
0.617 0.171 0.979 I
0.361 0.479 0.308 I
0.021 0.329 0.383 I
0.479 0.117 0.171 I
0.447 0.617 0.639 I
0.021 0.692 0.139 I
0.361 0.883 0.553 I
0.192 0.053 0.171 I
0.692 0.021 0.639 I
0.617 0.447 0.139 I
0.883 0.521 0.329 I
0.861 0.808 0.979 I
0.171 0.617 0.479 I
0.329 0.308 0.947 I
0.947 0.808 0.329 I
0.553 0.171 0.692 I
0.947 0.139 0.117 I
0.521 0.639 0.192 I
0.861 0.053 0.383 I
0.171 0.553 0.192 I
0.329 0.021 0.883 I
0.692 0.671 0.553 I
0.808 0.861 0.479 I
0.883 0.361 0.053 I
0.308 0.329 0.447 I
0.192 0.139 0.521 I
0.117 0.639 0.947 I
0.139 0.947 0.617 I
0.671 0.979 0.117 I
0.829 0.447 0.808 I
0.479 0.361 0.808 I
0.447 0.829 0.308 I
0.053 0.861 0.883 I
0.053 0.192 0.671 I
0.829 0.383 0.521 I
0.139 0.192 0.021 I
0.671 0.692 0.053 I
0.308 0.979 0.361 I
0.383 0.553 0.861 I
0.117 0.479 0.671 I
0.808 0.947 0.829 I
0.639 0.117 0.447 I
0.521 0.883 0.829 I
0.979 0.308 0.861 I
0.553 0.383 0.361 I
0.979 0.671 0.617 I
0.639 0.521 0.692 I
0.383 0.829 0.021 I
```

E_tot = -2.3919 eV/atom
magnetic moment = 0.00 μB/cell

***

2.
NaInI2: optimized geometry, PBE.

POSCAR file:
```
NaInI2
1.0
-0.190 -2.859 -3.910
3.563 0.144 -3.283
14.310 -20.929 14.611
Na In I
3 3 6
Direct
0.329 0.000 0.167 Na
0.671 0.329 0.833 Na
0.000 0.671 0.500 Na
0.000 0.664 0.000 In
0.664 0.336 0.333 In
0.336 0.000 0.667 In
0.005 0.662 0.892 I
0.333 0.005 0.559 I
0.662 0.333 0.225 I
0.667 0.338 0.441 I
0.995 0.667 0.108 I
0.338 0.995 0.775 I
```

E_tot = -2.4228 eV/atom
energy relative to the lowest polymorph listed for this composition = 212 meV/atom
magnetic moment = 0.00 μB/cell

***

3.
Na2InI4: optimized geometry, PBE.

POSCAR file:
```
Na2InI4
1.0
-0.713 -1.979 5.690
-2.739 -4.997 -2.081
5.579 -7.318 1.387
I Na In
4 2 1
Direct
0.186 0.186 0.628 I
0.814 0.814 0.372 I
0.000 0.500 0.000 I
0.500 0.000 0.000 I
0.368 0.368 0.263 Na
0.632 0.632 0.737 Na
0.000 0.000 0.000 In
```

E_tot = -2.4210 eV/atom
energy relative to the lowest polymorph listed for this composition = 51 meV/atom
magnetic moment = 0.00 μB/cell

***

4.
Na5InI7: optimized geometry, PBE.

POSCAR file:
```
Na5InI7
1.0
4.363 0.000 0.000
-2.181 7.743 0.006
0.000 -0.046 27.977
Na In I
10 2 14
Direct
0.000 0.001 0.000 Na
0.722 0.445 0.931 Na
0.278 0.557 0.069 Na
0.537 0.075 0.358 Na
0.463 0.926 0.642 Na
0.000 0.001 0.500 Na
0.278 0.556 0.431 Na
0.723 0.445 0.569 Na
0.462 0.925 0.858 Na
0.538 0.077 0.142 Na
0.778 0.557 0.250 In
0.222 0.444 0.750 In
0.429 0.858 0.250 I
0.571 0.143 0.750 I
0.638 0.276 0.038 I
0.363 0.725 0.962 I
0.363 0.726 0.538 I
0.638 0.275 0.462 I
0.187 0.375 0.177 I
0.813 0.627 0.823 I
0.814 0.627 0.677 I
0.187 0.373 0.323 I
0.912 0.824 0.105 I
0.089 0.178 0.895 I
0.089 0.179 0.605 I
0.911 0.822 0.395 I
```

E_tot = -2.5766 eV/atom
magnetic moment = 0.00 μB/cell

***

5.
NaInI2: optimized geometry, PBE.

POSCAR file:
```
NaInI2
1.0
2.065 -5.190 -1.807
2.408 -3.707 3.863
-2.804 -4.946 1.463
I Na In
2 1 1
Direct
0.250 0.250 0.250 I
0.750 0.750 0.750 I
0.000 0.000 0.000 Na
0.500 0.500 0.500 In
```

E_tot = -2.5354 eV/atom
energy relative to the lowest polymorph listed for this composition = 100 meV/atom
magnetic moment = 0.00 μB/cell

***

6.
NaNdIn2I6: optimized geometry, PBE.

POSCAR file:
```
NaNdIn2I6
1.0
8.501 0.002 0.002
4.252 7.362 0.001
4.252 2.455 7.299
Na Nd In I
1 1 2 6
Direct
0.818 0.818 0.546 Na
0.324 0.324 0.029 Nd
0.524 0.523 0.430 In
0.018 0.018 0.946 In
0.580 0.188 0.260 I
0.188 0.971 0.260 I
0.971 0.581 0.260 I
0.449 0.686 0.762 I
0.686 0.104 0.762 I
0.104 0.449 0.762 I
```

E_tot = -3.0785 eV/atom
magnetic moment = 0.00 μB/cell

***

7.
Na2NdInI6: optimized geometry, PBE.

POSCAR file:
```
Na2NdInI6
1.0
8.195 0.002 0.001
4.100 7.095 0.001
4.098 2.367 7.515
Na Nd In I
2 1 1 6
Direct
0.515 0.515 0.456 Na
0.004 0.004 0.988 Na
0.326 0.326 0.022 Nd
0.815 0.815 0.555 In
0.584 0.241 0.241 I
0.241 0.933 0.241 I
0.933 0.584 0.241 I
0.384 0.727 0.757 I
0.727 0.132 0.757 I
0.132 0.384 0.757 I
```

E_tot = -3.0937 eV/atom
magnetic moment = 0.00 μB/cell

***

8.
Na2NpInI8: optimized geometry, PBE.

POSCAR file:
```
Na2NpInI8
1.0
7.615 -0.300 -0.004
-0.334 7.292 -0.008
0.006 0.010 9.320
Na Np In I
2 1 1 8
Direct
0.500 0.500 0.747 Na
0.500 0.500 0.253 Na
0.000 0.000 0.000 Np
0.000 0.000 0.500 In
0.152 0.782 0.249 I
0.666 0.742 0.000 I
0.848 0.218 0.249 I
0.848 0.218 0.751 I
0.334 0.258 0.000 I
0.152 0.782 0.751 I
0.679 0.742 0.500 I
0.321 0.258 0.500 I
```

E_tot = -3.3830 eV/atom
magnetic moment = 3.78 μB/cell